The following is a PBE with a Hubbard U calculation of crystalline RbMnF3 at its relaxed geometry, from Alexandria.

Calculated values
Size of the total moment ... 4.00 μB/f.u.
Total energy ... -52.626 eV for the cell shown

Unit cell a=4.1849 b=7.3822 c=7.4352 alpha=111.02 beta=103.77 gamma=103.18
Space group P1 (No. 1)
Unique sites:
Rb  0.0000  0.0000  0.0000 x1
Rb  0.0027  0.5809  0.4177 x1
Mn  0.3775  0.4390  0.8574 x1
Mn  0.6896  0.1502  0.5692 x1
F  0.2963  0.6806  0.8730 x1
F  0.2988  0.4557  0.0979 x1
F  0.4877  0.4032  0.6138 x1
F  0.4909  0.1943  0.8222 x1
F  0.6952  0.1414  0.2999 x1
F  0.6969  0.8795  0.5608 x1